No. 1
The following is a PBE calculation of an optimized crystal structure of Sm4Tl2AgHg, from Alexandria via LeMat-Bulk.

Cell lengths 5.3938, 5.3938, 26.4652 Å; angles 90.00, 90.00, 120.00 degrees
Space group R-3m (No. 166, hexagonal axes)
One atom of each set of equivalent atoms:
Sm (0.0000, 0.0000, 0.1239) (multiplicity 6)
Sm (0.0000, 0.0000, 0.3740) (multiplicity 6)
Tl (0.0000, 0.0000, 0.2501) (multiplicity 6)
Ag (0.0000, 0.0000, 0.0000) (multiplicity 3)
Hg (0.0000, 0.0000, 0.5000) (multiplicity 3)

Computed properties:
Volume ... 27.783 A^3/atom
DFT formation energy ... -0.376 eV/atom

No. 2
The following is a PBE calculation of an optimized crystal structure of ZnGaReF2, from Alexandria via LeMat-Bulk.

Cell lengths 3.716, 3.716, 6.796 Å; angles 90.00, 90.00, 90.00 degrees
Space group P4/mmm (No. 123)
One atom of each set of equivalent atoms:
Zn (0.000, 0.000, 0.000) (multiplicity 1)
Ga (0.500, 0.500, 0.500) (multiplicity 1)
Re (0.000, 0.000, 0.500) (multiplicity 1)
F (0.000, 0.500, 0.000) (multiplicity 2)

Computed properties:
Volume ... 18.765 A^3/atom
Formation energy (no corrections) ... -1.96 eV per formula unit